1.
The following is a GGA-PBEsol calculation of a relaxed HfSc3N crystal, from Alexandria via LeMat-Bulk.

uncorrected formation energy = -290.4 kJ/mol of formula units
DFT total energy = -8.3709 eV per atom

```
data_HfSc3N
_cell_length_a 4.472
_cell_length_b 4.472
_cell_length_c 4.472
_cell_angle_alpha 90.00
_cell_angle_beta 90.00
_cell_angle_gamma 90.00
_space_group_name_H-M_alt 'P m -3 m'
_space_group_IT_number 221
_space_group_name_Hall '-P 4 2 3'
loop_
_atom_site_label
_atom_site_type_symbol
_atom_site_fract_x
_atom_site_fract_y
_atom_site_fract_z
_atom_site_occupancy
Hf1 Hf 0.000 0.000 0.000 1
Sc1 Sc 0.000 0.500 0.500 1
N1 N 0.500 0.500 0.500 1
```

2.
The following is a GGA-PBEsol calculation of a relaxed KCrO2 crystal, from Alexandria via LeMat-Bulk.

uncorrected formation energy = -309.4 kJ/mol of formula units
DFT total energy = -6.2703 eV per atom

```
data_KCrO2
_cell_length_a 5.2487
_cell_length_b 5.2487
_cell_length_c 8.2539
_cell_angle_alpha 90.00
_cell_angle_beta 90.00
_cell_angle_gamma 120.00
_space_group_name_H-M_alt 'P 6/m m m'
_space_group_IT_number 191
_space_group_name_Hall '-P 6 2'
loop_
_atom_site_label
_atom_site_type_symbol
_atom_site_fract_x
_atom_site_fract_y
_atom_site_fract_z
_atom_site_occupancy
K1 K 0.0000 0.0000 0.0000 1
Cr1 Cr 0.0000 0.0000 0.5000 1
O1 O 0.0000 0.0000 0.2967 1
```

3.
The following is a GGA-PBEsol calculation of a relaxed Sc2InCo crystal, from Alexandria via LeMat-Bulk.

DFT total energy = -6.2299 eV per atom
calculated formation energy = -0.25 eV per atom

```
data_Sc2InCo
_cell_length_a 6.487
_cell_length_b 6.487
_cell_length_c 6.487
_cell_angle_alpha 90.00
_cell_angle_beta 90.00
_cell_angle_gamma 90.00
_space_group_name_H-M_alt 'F -4 3 m'
_space_group_IT_number 216
_space_group_name_Hall 'F -4 2 3'
loop_
_atom_site_label
_atom_site_type_symbol
_atom_site_fract_x
_atom_site_fract_y
_atom_site_fract_z
_atom_site_occupancy
Sc1 Sc 0.000 0.000 0.000 1
Sc2 Sc 0.250 0.250 0.250 1
In1 In 0.000 0.000 0.500 1
Co1 Co 0.250 0.250 0.750 1
```

4.
The following is a GGA-PBEsol calculation of a relaxed MgGa2Bi2 crystal, from Alexandria via LeMat-Bulk.

DFT total energy = -3.3810 eV per atom
calculated formation energy = 0.01 eV per atom

```
data_MgGa2Bi2
_cell_length_a 3.663
_cell_length_b 3.663
_cell_length_c 18.363
_cell_angle_alpha 90.00
_cell_angle_beta 90.00
_cell_angle_gamma 90.00
_space_group_name_H-M_alt 'I 4/m m m'
_space_group_IT_number 139
_space_group_name_Hall '-I 4 2'
loop_
_atom_site_label
_atom_site_type_symbol
_atom_site_fract_x
_atom_site_fract_y
_atom_site_fract_z
_atom_site_occupancy
Mg1 Mg 0.000 0.000 0.000 1
Ga1 Ga 0.000 0.500 0.250 1
Bi1 Bi 0.000 0.000 0.398 1
```

Q: DFT total energy of number 3 (Sc2InCo)?
A: -6.2299 eV per atom